## NiSnAs (PBE)

Data for a geometry-optimized NiSnAs structure.

space-group type = No. 156
energy relative to the elements = -0.09 eV per atom
density of states at the Fermi level = 1.86 states/eV/cell
VASP energy = -4.899 eV per atom

Lattice parameters (Å, degrees): 3.8675 3.8675 4.6094 90.00 90.00 120.00
Sites, in units of the cell vectors:
Ni 0.0000 0.0000 0.0000
Sn 0.6667 0.3333 0.6660
As 0.3333 0.6667 0.1499